Record 1
Below is a relaxed CsMoPH2 crystal, with properties calculated at the PBE-GGA level.

## Properties
The value obtained for the total DFT energy (no corrections) is -3.199 eV/atom. Its symmetry is P4/mmm.

Cell lengths 3.7240, 5.9242, 3.7240 Å; angles 90.00, 90.00, 90.00 degrees
With the nearest neighbours (Å) after each atom.
Atoms (fractional coordinates):
P 0.5000 0.5000 0.5000  4 Mo 2.63
Cs 0.0000 0.0000 0.0000  4 H 1.86
Mo 0.0000 0.5000 0.0000  4 P 2.63
H 0.5000 0.0000 0.0000  2 Cs 1.86
H 0.0000 0.0000 0.5000  2 Cs 1.86

Record 2
Below is a relaxed CsMoH2Ru crystal, with properties calculated at the PBE-GGA level.

## Properties
The value obtained for the total DFT energy (no corrections) is -3.555 eV/atom. Its symmetry is P4/mmm.

Cell lengths 3.7463, 6.2998, 3.7463 Å; angles 90.00, 90.00, 90.00 degrees
With the nearest neighbours (Å) after each atom.
Atoms (fractional coordinates):
Ru 0.5000 0.5000 0.5000  4 Mo 2.65
Cs 0.0000 0.0000 0.0000  4 H 1.87
Mo 0.0000 0.5000 0.0000  4 Ru 2.65
H 0.5000 0.0000 0.0000  2 Cs 1.87
H 0.0000 0.0000 0.5000  2 Cs 1.87

N(E_F) list, top to bottom, in states/eV/atom: 0.61 0.66